Entry 1:
The following is a DFT calculation (GGA-PBE) of SrSbW4 after structural relaxation.

Unit cell a=5.541 b=5.541 c=5.541 alpha=60.00 beta=60.00 gamma=60.00
Fractional positions:
Sr 0.000 0.000 0.000
Sb 0.250 0.250 0.250
W 0.124 0.625 0.625
W 0.625 0.124 0.625
W 0.625 0.625 0.124
W 0.625 0.625 0.625

Results
Formation energy (no corrections) ... 0.777 eV/atom

=====

Entry 2:
The following is a DFT calculation (GGA-PBE) of UFeSn after structural relaxation.

Unit cell a=3.130 b=3.130 c=11.531 alpha=90.00 beta=90.00 gamma=90.00
Fractional positions:
U 0.000 0.000 0.000
U 0.500 0.500 0.500
Fe 0.000 0.000 0.366
Fe 0.500 0.500 0.866
Sn 0.000 0.000 0.717
Sn 0.500 0.500 0.217

Results
Energy ... -47.7 eV for the cell shown

=====

Entry 3:
The following is a DFT calculation (GGA-PBE) of Li4Cd4Pt3 after structural relaxation.

Unit cell a=2.900 b=4.472 c=14.294 alpha=98.67 beta=95.74 gamma=90.72
Fractional positions:
Li 0.000 0.000 0.000
Li 0.120 0.367 0.729
Li 0.587 0.722 0.437
Li 0.714 0.088 0.165
Cd 0.092 0.264 0.522
Cd 0.616 0.825 0.644
Cd 0.730 0.453 0.905
Cd 0.979 0.635 0.260
Pt 0.221 0.912 0.822
Pt 0.355 0.544 0.083
Pt 0.488 0.176 0.344

Results
Energy ... -33.9 eV for the cell shown

=====

Entry 4:
The following is a DFT calculation (GGA-PBE) of Zr2Sb2P after structural relaxation.

Unit cell a=4.015 b=4.015 c=14.709 alpha=90.00 beta=90.00 gamma=90.00
Fractional positions:
Zr 0.000 0.000 0.098
Zr 0.000 0.000 0.902
Zr 0.500 0.500 0.402
Zr 0.500 0.500 0.598
Sb 0.000 0.500 0.250
Sb 0.000 0.500 0.750
Sb 0.500 0.000 0.250
Sb 0.500 0.000 0.750
P 0.000 0.000 0.500
P 0.500 0.500 0.000

Results
Formation energy (no corrections) ... -0.152 eV/atom

=====

Entry 5:
The following is a DFT calculation (GGA-PBE) of Ce6Mg2C after structural relaxation.

Unit cell a=6.982 b=6.982 c=6.557 alpha=118.01 beta=118.01 gamma=56.12
Fractional positions:
Ce 0.226 0.773 0.221
Ce 0.227 0.774 0.779
Ce 0.272 0.272 0.270
Ce 0.728 0.728 0.730
Ce 0.773 0.226 0.221
Ce 0.774 0.227 0.779
Mg 0.248 0.248 0.747
Mg 0.752 0.752 0.253
C 0.500 0.500 0.500

Results
Energy ... -47.9 eV for the cell shown

=====

Entry 6:
The following is a DFT calculation (GGA-PBE) of AcAgCl4 after structural relaxation.

Unit cell a=7.962 b=7.962 c=7.962 alpha=106.44 beta=106.44 gamma=115.72
Fractional positions:
Ac 0.000 0.000 0.000
Ac 0.750 0.250 0.500
Ag 0.207 0.707 0.500
Ag 0.457 0.457 0.000
Cl 0.197 0.486 0.711
Cl 0.236 0.025 0.789
Cl 0.236 0.447 0.211
Cl 0.286 0.982 0.305
Cl 0.677 0.982 0.695
Cl 0.732 0.536 0.805
Cl 0.732 0.927 0.195
Cl 0.775 0.486 0.289

Results
Formation energy (no corrections) ... -1.716 eV/atom

=====

Entry 7:
The following is a DFT calculation (GGA-PBE) of Pr3Ga3Pt2 after structural relaxation.

Unit cell a=5.794 b=5.794 c=15.206 alpha=90.00 beta=90.00 gamma=134.14
Fractional positions:
Pr 0.090 0.910 0.607
Pr 0.090 0.910 0.893
Pr 0.367 0.633 0.750
Pr 0.633 0.367 0.250
Pr 0.910 0.090 0.107
Pr 0.910 0.090 0.393
Ga 0.339 0.661 0.250
Ga 0.377 0.623 0.537
Ga 0.377 0.623 0.963
Ga 0.623 0.377 0.037
Ga 0.623 0.377 0.463
Ga 0.661 0.339 0.750
Pt 0.200 0.800 0.104
Pt 0.200 0.800 0.396
Pt 0.800 0.200 0.604
Pt 0.800 0.200 0.896

Results
Energy ... -85.2 eV for the cell shown

=====

Entry 8:
The following is a DFT calculation (GGA-PBE) of YCuTcOs2 after structural relaxation.

Unit cell a=4.843 b=4.843 c=4.658 alpha=90.00 beta=90.00 gamma=90.00
Fractional positions:
Y 0.000 0.000 0.000
Cu 0.000 0.000 0.500
Tc 0.500 0.500 0.500
Os 0.000 0.500 0.000
Os 0.500 0.000 0.000

Results
Energy ... -30.1 eV for the cell shown

=====

Entry 9:
The following is a DFT calculation (GGA-PBE) of Er2SiSnRh6 after structural relaxation.

Unit cell a=6.111 b=6.121 c=7.283 alpha=89.78 beta=65.28 gamma=60.06
Fractional positions:
Er 0.027 0.236 0.210
Er 0.973 0.764 0.790
Si 0.500 0.500 0.000
Sn 0.500 0.000 0.500
Rh 0.016 0.741 0.170
Rh 0.423 0.820 0.834
Rh 0.425 0.260 0.831
Rh 0.575 0.740 0.169
Rh 0.577 0.180 0.166
Rh 0.984 0.259 0.830

Results
Formation energy (no corrections) ... -0.475 eV/atom

=====

Entry 10:
The following is a DFT calculation (GGA-PBE) of CeTmTlBi after structural relaxation.

Unit cell a=7.729 b=7.729 c=7.729 alpha=90.00 beta=90.00 gamma=90.00
Fractional positions:
Ce 0.000 0.000 0.000
Ce 0.000 0.500 0.500
Ce 0.500 0.000 0.500
Ce 0.500 0.500 0.000
Tm 0.000 0.000 0.500
Tm 0.000 0.500 0.000
Tm 0.500 0.000 0.000
Tm 0.500 0.500 0.500
Tl 0.250 0.250 0.250
Tl 0.250 0.750 0.750
Tl 0.750 0.250 0.750
Tl 0.750 0.750 0.250
Bi 0.250 0.250 0.750
Bi 0.250 0.750 0.250
Bi 0.750 0.250 0.250
Bi 0.750 0.750 0.750

Results
Energy ... -72.4 eV for the cell shown

=====

Entry 11:
The following is a DFT calculation (GGA-PBE) of ErCuSi2Ni after structural relaxation.

Unit cell a=3.941 b=3.941 c=9.769 alpha=90.00 beta=90.00 gamma=90.00
Fractional positions:
Er 0.000 0.000 0.000
Er 0.500 0.500 0.500
Cu 0.000 0.500 0.750
Cu 0.500 0.000 0.250
Si 0.000 0.000 0.380
Si 0.000 0.000 0.620
Si 0.500 0.500 0.120
Si 0.500 0.500 0.880
Ni 0.000 0.500 0.250
Ni 0.500 0.000 0.750

Results
Formation energy (no corrections) ... -0.710 eV/atom

=====

Entry 12:
The following is a DFT calculation (GGA-PBE) of ReIr2Ru3 after structural relaxation.

Unit cell a=6.086 b=6.086 c=8.618 alpha=115.18 beta=115.18 gamma=36.94
Fractional positions:
Re 0.127 0.127 0.132
Re 0.873 0.873 0.868
Ir 0.210 0.210 0.874
Ir 0.461 0.461 0.125
Ir 0.539 0.539 0.875
Ir 0.790 0.790 0.126
Ru 0.043 0.043 0.377
Ru 0.292 0.292 0.626
Ru 0.375 0.375 0.377
Ru 0.625 0.625 0.623
Ru 0.708 0.708 0.374
Ru 0.957 0.957 0.623

Results
Energy ... -116.3 eV for the cell shown

=====

Entry 13:
The following is a DFT calculation (GGA-PBE) of TlIn2HgH after structural relaxation.

Unit cell a=4.807 b=4.807 c=4.983 alpha=90.00 beta=90.00 gamma=90.00
Fractional positions:
Tl 0.000 0.000 0.000
In 0.000 0.500 0.500
In 0.500 0.000 0.500
Hg 0.500 0.500 0.000
H 0.000 0.000 0.500

Results
Energy ... -10.5 eV for the cell shown

=====

Entry 14:
The following is a DFT calculation (GGA-PBE) of TlZnCr2 after structural relaxation.

Unit cell a=2.980 b=2.980 c=26.387 alpha=90.00 beta=90.00 gamma=120.00
Fractional positions:
Tl 0.000 0.000 0.000
Tl 0.333 0.667 0.667
Tl 0.667 0.333 0.333
Zn 0.000 0.000 0.770
Zn 0.333 0.667 0.437
Zn 0.667 0.333 0.103
Cr 0.000 0.000 0.239
Cr 0.000 0.000 0.517
Cr 0.333 0.667 0.183
Cr 0.333 0.667 0.905
Cr 0.667 0.333 0.572
Cr 0.667 0.333 0.850

Results
Energy ... -62.4 eV for the cell shown

=====

Entry 15:
The following is a DFT calculation (GGA-PBE) of PaSiW after structural relaxation.

Unit cell a=4.351 b=4.351 c=3.645 alpha=90.00 beta=90.00 gamma=120.00
Fractional positions:
Pa 0.000 0.000 0.000
Si 0.333 0.667 0.500
W 0.667 0.333 0.500

Results
Formation energy (no corrections) ... -0.067 eV/atom

=====

Entry 16:
The following is a DFT calculation (GGA-PBE) of AcPm9Tm2 after structural relaxation.

Unit cell a=5.161 b=5.161 c=15.495 alpha=90.00 beta=90.00 gamma=90.00
Fractional positions:
Ac 0.000 0.000 0.000
Pm 0.000 0.500 0.174
Pm 0.000 0.500 0.500
Pm 0.000 0.500 0.826
Pm 0.500 0.000 0.174
Pm 0.500 0.000 0.500
Pm 0.500 0.000 0.826
Pm 0.500 0.500 0.000
Pm 0.500 0.500 0.339
Pm 0.500 0.500 0.661
Tm 0.000 0.000 0.337
Tm 0.000 0.000 0.663

Results
Energy ... -55.5 eV for the cell shown